# 1
The following is a PBE calculation of a relaxed Fe2Sn crystal, from OQMD via LeMat-Bulk.

a b c (Å): 7.053 7.053 7.053
angles (deg): 90.00 90.00 90.00
Space group Fd-3m (No. 227, origin choice 2)
Asymmetric unit:
1 Fe 0.000 0.000 0.000 (multiplicity 16)
2 Sn 0.125 0.125 0.625 (multiplicity 8)

## Properties
- Calculated total energy: -6.730 eV per atom
- V: 350.9 Å³ per cell
- ρ: 8.72 g/cm³

# 2
The following is a PBE calculation of a relaxed SrFeSn crystal, from OQMD via LeMat-Bulk.

a b c (Å): 7.316 7.316 7.316
angles (deg): 90.00 90.00 90.00
Space group F-43m (No. 216)
Asymmetric unit:
1 Sr 0.000 0.000 0.000 (multiplicity 4)
2 Fe 0.250 0.250 0.750 (multiplicity 4)
3 Sn 0.250 0.250 0.250 (multiplicity 4)

## Properties
- Calculated total energy: -3.703 eV per atom
- V: 391.6 Å³ per cell
- ρ: 4.45 g/cm³

# 3
The following is a PBE calculation of a relaxed SrFeSn crystal, from OQMD via LeMat-Bulk.

a b c (Å): 6.916 6.916 6.916
angles (deg): 90.00 90.00 90.00
Space group F-43m (No. 216)
Asymmetric unit:
1 Sr 0.000 0.000 0.000 (multiplicity 4)
2 Fe 0.250 0.250 0.750 (multiplicity 4)
3 Sn 0.000 0.000 0.500 (multiplicity 4)

## Properties
- Calculated total energy: -4.421 eV per atom
- V: 330.8 Å³ per cell
- ρ: 5.26 g/cm³

# 4
The following is a PBE calculation of a relaxed TaFe2Sn crystal, from OQMD via LeMat-Bulk.

a b c (Å): 6.286 6.286 6.286
angles (deg): 90.00 90.00 90.00
Space group F-43m (No. 216)
Asymmetric unit:
1 Ta 0.000 0.000 0.000 (multiplicity 4)
2 Fe 0.000 0.000 0.500 (multiplicity 4)
3 Fe 0.250 0.250 0.250 (multiplicity 4)
4 Sn 0.250 0.250 0.750 (multiplicity 4)

## Properties
- Calculated total energy: -7.885 eV per atom
- V: 248.4 Å³ per cell
- ρ: 11.00 g/cm³

# 5
The following is a PBE calculation of a relaxed Ta2FeSn crystal, from OQMD via LeMat-Bulk.

a b c (Å): 6.470 6.470 6.470
angles (deg): 90.00 90.00 90.00
Space group F-43m (No. 216)
Asymmetric unit:
1 Ta 0.000 0.000 0.000 (multiplicity 4)
2 Ta 0.250 0.250 0.250 (multiplicity 4)
3 Fe 0.250 0.250 0.750 (multiplicity 4)
4 Sn 0.000 0.000 0.500 (multiplicity 4)

## Properties
- Calculated total energy: -8.722 eV per atom
- V: 270.8 Å³ per cell
- ρ: 13.16 g/cm³

# 6
The following is a PBE calculation of a relaxed TaZnFeSn crystal, from OQMD via LeMat-Bulk.

a b c (Å): 6.410 6.410 6.410
angles (deg): 90.00 90.00 90.00
Space group F-43m (No. 216)
Asymmetric unit:
1 Ta 0.000 0.000 0.000 (multiplicity 4)
2 Zn 0.250 0.250 0.750 (multiplicity 4)
3 Fe 0.000 0.000 0.500 (multiplicity 4)
4 Sn 0.250 0.250 0.250 (multiplicity 4)

## Properties
- Calculated total energy: -5.968 eV per atom
- V: 263.4 Å³ per cell
- ρ: 10.61 g/cm³

# 7
The following is a PBE calculation of a relaxed TaZnFeSn crystal, from OQMD via LeMat-Bulk.

a b c (Å): 6.324 6.324 6.324
angles (deg): 90.00 90.00 90.00
Space group F-43m (No. 216)
Asymmetric unit:
1 Ta 0.000 0.000 0.000 (multiplicity 4)
2 Zn 0.250 0.250 0.250 (multiplicity 4)
3 Fe 0.250 0.250 0.750 (multiplicity 4)
4 Sn 0.000 0.000 0.500 (multiplicity 4)

## Properties
- Calculated total energy: -6.154 eV per atom
- V: 252.9 Å³ per cell
- ρ: 11.05 g/cm³

# 8
The following is a PBE calculation of a relaxed FeTcSnW crystal, from OQMD via LeMat-Bulk.

a b c (Å): 6.248 6.248 6.248
angles (deg): 90.00 90.00 90.00
Space group F-43m (No. 216)
Asymmetric unit:
1 Fe 0.000 0.000 0.000 (multiplicity 4)
2 Tc 0.000 0.000 0.500 (multiplicity 4)
3 Sn 0.250 0.250 0.750 (multiplicity 4)
4 W 0.250 0.250 0.250 (multiplicity 4)

## Properties
- Calculated total energy: -8.713 eV per atom
- V: 244.0 Å³ per cell
- ρ: 12.43 g/cm³

# 9
The following is a PBE calculation of a relaxed Tm6Fe2Sn crystal, from OQMD via LeMat-Bulk.

a b c (Å): 9.336 9.442 9.858
angles (deg): 90.00 90.00 90.00
Space group Immm (No. 71)
Asymmetric unit:
1 Tm 0.000 0.218 0.231 (multiplicity 8)
2 Tm 0.200 0.500 0.185 (multiplicity 8)
3 Tm 0.213 0.312 0.500 (multiplicity 8)
4 Fe 0.000 0.386 0.000 (multiplicity 4)
5 Fe 0.000 0.500 0.391 (multiplicity 4)
6 Sn 0.000 0.000 0.000 (multiplicity 2)
7 Sn 0.000 0.000 0.500 (multiplicity 2)

## Properties
- Calculated total energy: -5.529 eV per atom
- V: 869.0 Å³ per cell
- ρ: 9.51 g/cm³

# 10
The following is a PBE calculation of a relaxed Tm2FeSn2 crystal, from OQMD via LeMat-Bulk.

a b c (Å): 10.820 4.393 10.793
angles (deg): 90.00 116.32 90.00
Space group C2/m (No. 12)
Asymmetric unit:
1 Tm 0.006 0.000 0.171 (multiplicity 4)
2 Tm 0.186 0.000 0.624 (multiplicity 4)
3 Fe 0.220 0.500 0.831 (multiplicity 4)
4 Sn 0.027 0.500 0.379 (multiplicity 4)
5 Sn 0.159 0.500 0.055 (multiplicity 4)

## Properties
- Calculated total energy: -5.504 eV per atom
- V: 459.8 Å³ per cell
- ρ: 9.12 g/cm³

# 11
The following is a PBE calculation of a relaxed Fe2Sn2W3 crystal, from OQMD via LeMat-Bulk.

a b c (Å): 4.4116 4.4116 19.6971
angles (deg): 90.00 90.00 120.00
Space group R3m (No. 160, hexagonal axes)
Asymmetric unit:
1 Fe 0.0000 0.0000 0.0000 (multiplicity 3)
2 Fe 0.0000 0.0000 0.4383 (multiplicity 3)
3 Sn 0.0000 0.0000 0.1480 (multiplicity 3)
4 Sn 0.0000 0.0000 0.7212 (multiplicity 3)
5 W 0.0000 0.0000 0.2988 (multiplicity 3)
6 W 0.0000 0.0000 0.5798 (multiplicity 3)
7 W 0.0000 0.0000 0.8728 (multiplicity 3)

## Properties
- Calculated total energy: -8.763 eV per atom
- V: 332.0 Å³ per cell
- ρ: 13.51 g/cm³

# 12
The following is a PBE calculation of a relaxed FeSn2W crystal, from OQMD via LeMat-Bulk.

a b c (Å): 6.659 6.659 6.659
angles (deg): 90.00 90.00 90.00
Space group F-43m (No. 216)
Asymmetric unit:
1 Fe 0.000 0.000 0.000 (multiplicity 4)
2 Sn 0.000 0.000 0.500 (multiplicity 4)
3 Sn 0.250 0.250 0.250 (multiplicity 4)
4 W 0.250 0.250 0.750 (multiplicity 4)

## Properties
- Calculated total energy: -6.502 eV per atom
- V: 295.3 Å³ per cell
- ρ: 10.73 g/cm³

# 13
The following is a PBE calculation of a relaxed YFeSn crystal, from OQMD via LeMat-Bulk.

a b c (Å): 6.527 6.527 6.527
angles (deg): 90.00 90.00 90.00
Space group F-43m (No. 216)
Asymmetric unit:
1 Y 0.000 0.000 0.000 (multiplicity 4)
2 Fe 0.250 0.250 0.750 (multiplicity 4)
3 Sn 0.000 0.000 0.500 (multiplicity 4)

## Properties
- Calculated total energy: -6.376 eV per atom
- V: 278.0 Å³ per cell
- ρ: 6.29 g/cm³

# 14
The following is a PBE calculation of a relaxed YFeSn2 crystal, from OQMD via LeMat-Bulk.

a b c (Å): 7.014 7.014 7.014
angles (deg): 90.00 90.00 90.00
Space group F-43m (No. 216)
Asymmetric unit:
1 Y 0.000 0.000 0.000 (multiplicity 4)
2 Fe 0.250 0.250 0.250 (multiplicity 4)
3 Sn 0.000 0.000 0.500 (multiplicity 4)
4 Sn 0.250 0.250 0.750 (multiplicity 4)

## Properties
- Calculated total energy: -5.577 eV per atom
- V: 345.1 Å³ per cell
- ρ: 7.36 g/cm³

# 15
The following is a PBE calculation of a relaxed YFe2Sn crystal, from OQMD via LeMat-Bulk.

a b c (Å): 6.654 6.654 6.654
angles (deg): 90.00 90.00 90.00
Space group F-43m (No. 216)
Asymmetric unit:
1 Y 0.000 0.000 0.000 (multiplicity 4)
2 Fe 0.000 0.000 0.500 (multiplicity 4)
3 Fe 0.250 0.250 0.250 (multiplicity 4)
4 Sn 0.250 0.250 0.750 (multiplicity 4)

## Properties
- Calculated total energy: -6.670 eV per atom
- V: 294.7 Å³ per cell
- ρ: 7.20 g/cm³

# 16
The following is a PBE calculation of a relaxed Y2FeSn6 crystal, from OQMD via LeMat-Bulk.

a b c (Å): 4.362 23.002 4.452
angles (deg): 90.00 90.00 90.00
Space group Cmmm (No. 65)
Asymmetric unit:
1 Y 0.000 0.178 0.000 (multiplicity 4)
2 Fe 0.000 0.500 0.500 (multiplicity 2)
3 Sn 0.000 0.070 0.500 (multiplicity 4)
4 Sn 0.000 0.294 0.500 (multiplicity 4)
5 Sn 0.000 0.431 0.000 (multiplicity 4)

## Properties
- Calculated total energy: -5.398 eV per atom
- V: 446.7 Å³ per cell
- ρ: 7.03 g/cm³

# 17
The following is a PBE calculation of a relaxed YZnFeSn crystal, from OQMD via LeMat-Bulk.

a b c (Å): 6.803 6.803 6.803
angles (deg): 90.00 90.00 90.00
Space group F-43m (No. 216)
Asymmetric unit:
1 Y 0.000 0.000 0.000 (multiplicity 4)
2 Zn 0.250 0.250 0.750 (multiplicity 4)
3 Fe 0.000 0.000 0.500 (multiplicity 4)
4 Sn 0.250 0.250 0.250 (multiplicity 4)

## Properties
- Calculated total energy: -5.068 eV per atom
- V: 314.8 Å³ per cell
- ρ: 6.94 g/cm³

# 18
The following is a PBE calculation of a relaxed YZnFeSn crystal, from OQMD via LeMat-Bulk.

a b c (Å): 6.703 6.703 6.703
angles (deg): 90.00 90.00 90.00
Space group F-43m (No. 216)
Asymmetric unit:
1 Y 0.000 0.000 0.000 (multiplicity 4)
2 Zn 0.250 0.250 0.250 (multiplicity 4)
3 Fe 0.250 0.250 0.750 (multiplicity 4)
4 Sn 0.000 0.000 0.500 (multiplicity 4)

## Properties
- Calculated total energy: -5.079 eV per atom
- V: 301.1 Å³ per cell
- ρ: 7.25 g/cm³

# 19
The following is a PBE calculation of a relaxed YZrFeSn crystal, from OQMD via LeMat-Bulk.

a b c (Å): 6.873 6.873 6.873
angles (deg): 90.00 90.00 90.00
Space group F-43m (No. 216)
Asymmetric unit:
1 Y 0.000 0.000 0.000 (multiplicity 4)
2 Zr 0.250 0.250 0.750 (multiplicity 4)
3 Fe 0.000 0.000 0.500 (multiplicity 4)
4 Sn 0.250 0.250 0.250 (multiplicity 4)

## Properties
- Calculated total energy: -6.732 eV per atom
- V: 324.7 Å³ per cell
- ρ: 7.26 g/cm³

# 20
The following is a PBE calculation of a relaxed Zn2FeSn crystal, from OQMD via LeMat-Bulk.

a b c (Å): 6.238 6.238 6.238
angles (deg): 90.00 90.00 90.00
Space group F-43m (No. 216)
Asymmetric unit:
1 Zn 0.000 0.000 0.000 (multiplicity 4)
2 Zn 0.250 0.250 0.250 (multiplicity 4)
3 Fe 0.250 0.250 0.750 (multiplicity 4)
4 Sn 0.000 0.000 0.500 (multiplicity 4)

## Properties
- Calculated total energy: -3.371 eV per atom
- V: 242.7 Å³ per cell
- ρ: 8.36 g/cm³

# 21
The following is a PBE calculation of a relaxed ZnFeSn2 crystal, from OQMD via LeMat-Bulk.

a b c (Å): 6.913 6.913 6.913
angles (deg): 90.00 90.00 90.00
Space group F-43m (No. 216)
Asymmetric unit:
1 Zn 0.000 0.000 0.000 (multiplicity 4)
2 Fe 0.250 0.250 0.750 (multiplicity 4)
3 Sn 0.000 0.000 0.500 (multiplicity 4)
4 Sn 0.250 0.250 0.250 (multiplicity 4)

## Properties
- Calculated total energy: -3.897 eV per atom
- V: 330.3 Å³ per cell
- ρ: 7.21 g/cm³

# 22
The following is a PBE calculation of a relaxed ZnFe2Sn crystal, from OQMD via LeMat-Bulk.

a b c (Å): 6.138 6.138 6.138
angles (deg): 90.00 90.00 90.00
Space group F-43m (No. 216)
Asymmetric unit:
1 Zn 0.000 0.000 0.000 (multiplicity 4)
2 Fe 0.000 0.000 0.500 (multiplicity 4)
3 Fe 0.250 0.250 0.250 (multiplicity 4)
4 Sn 0.250 0.250 0.750 (multiplicity 4)

## Properties
- Calculated total energy: -5.244 eV per atom
- V: 231.3 Å³ per cell
- ρ: 8.50 g/cm³

# 23
The following is a PBE calculation of a relaxed ZnFe2Sn crystal, from OQMD via LeMat-Bulk.

a b c (Å): 6.128 6.128 6.128
angles (deg): 90.00 90.00 90.00
Space group Pm-3m (No. 221)
Asymmetric unit:
1 Zn 0.000 0.000 0.000 (multiplicity 1)
2 Zn 0.000 0.000 0.500 (multiplicity 3)
3 Fe 0.236 0.236 0.236 (multiplicity 8)
4 Sn 0.000 0.500 0.500 (multiplicity 3)
5 Sn 0.500 0.500 0.500 (multiplicity 1)

## Properties
- Calculated total energy: -5.238 eV per atom
- V: 230.1 Å³ per cell
- ρ: 8.54 g/cm³

# 24
The following is a PBE calculation of a relaxed ZnFe2Sn crystal, from OQMD via LeMat-Bulk.

a b c (Å): 6.128 6.128 6.128
angles (deg): 90.00 90.00 90.00
Space group Pm-3m (No. 221)
Asymmetric unit:
1 Zn 0.000 0.000 0.000 (multiplicity 1)
2 Zn 0.000 0.000 0.500 (multiplicity 3)
3 Fe 0.236 0.236 0.236 (multiplicity 8)
4 Sn 0.000 0.500 0.500 (multiplicity 3)
5 Sn 0.500 0.500 0.500 (multiplicity 1)

## Properties
- Calculated total energy: -5.238 eV per atom
- V: 230.2 Å³ per cell
- ρ: 8.54 g/cm³

# 25
The following is a PBE calculation of a relaxed ZrFeSn2 crystal, from OQMD via LeMat-Bulk.

a b c (Å): 6.816 6.816 6.816
angles (deg): 90.00 90.00 90.00
Space group F-43m (No. 216)
Asymmetric unit:
1 Zr 0.000 0.000 0.000 (multiplicity 4)
2 Fe 0.250 0.250 0.250 (multiplicity 4)
3 Sn 0.000 0.000 0.500 (multiplicity 4)
4 Sn 0.250 0.250 0.750 (multiplicity 4)

## Properties
- Calculated total energy: -6.001 eV per atom
- V: 316.6 Å³ per cell
- ρ: 8.07 g/cm³